The following is a PBE calculation of crystalline Sr2Al3CrAu12 at its relaxed geometry, from Alexandria.

- ΔE_f: -0.130 eV per atom
- Density of states at the Fermi level: 7.81 states/eV per cell
- Crystal system: trigonal
- Calculated volume: 24.10 Å³/atom

Unit cell a=8.3170 b=8.3170 c=8.3170 alpha=62.99 beta=62.99 gamma=62.99
Fractional coordinates of all 18 atoms:
1 Sr 0.1141 0.1141 0.1141
2 Sr 0.8859 0.8859 0.8859
3 Al 0.0000 0.5000 0.5000
4 Al 0.5000 0.0000 0.5000
5 Al 0.5000 0.5000 0.0000
6 Cr 0.5000 0.5000 0.5000
7 Au 0.1285 0.6241 0.6241
8 Au 0.1464 0.1464 0.6121
9 Au 0.1464 0.6121 0.1464
10 Au 0.3759 0.3759 0.8715
11 Au 0.3759 0.8715 0.3759
12 Au 0.3879 0.8536 0.8536
13 Au 0.6121 0.1464 0.1464
14 Au 0.6241 0.1285 0.6241
15 Au 0.6241 0.6241 0.1285
16 Au 0.8536 0.3879 0.8536
17 Au 0.8536 0.8536 0.3879
18 Au 0.8715 0.3759 0.3759